DFT (PBE) results for a relaxed structure of Sc4NiIr.

Properties
Its total DFT energy (no corrections) is -37.641 eV for the cell shown. As for the space-group type: F-43m (216). The value obtained for the excess energy over the best structure of this formula in the dataset is 918.9 meV/atom. As for the formation energy: 2.33 eV/f.u. Its spin magnetization is 0.00 μB per formula unit.

Lattice parameters (Å, degrees): 5.3994 5.3994 5.3994 60.00 60.00 60.00
With the nearest neighbours (Å) after each atom.
Fractional positions:
Sc1 0.3759 0.8723 0.3759  6 Sc 2.68-2.72
Sc2 0.3759 0.3759 0.3759  6 Sc 2.68-2.72
Sc3 0.8723 0.3759 0.3759  6 Sc 2.68-2.72
Sc4 0.3759 0.3759 0.8723  6 Sc 2.68-2.72
Ni1 0.0000 0.0000 0.0000  12 Sc 3.17, 4 Ir 3.31
Ir1 0.7500 0.7500 0.7500  12 Sc 3.16, 4 Ni 3.31